VASP calculation (GGA-PBE) on crystalline Cs5Ga2Pb4 at its relaxed geometry.

Cell: 4.240 10.856 12.801 Å, 115.12 99.53 90.00°
Fractional positions:
Cs1 0.161 0.947 0.322
Cs2 0.500 0.000 0.000
Pb1 0.000 0.646 0.000
Cs3 0.161 0.374 0.321
Cs4 0.839 0.626 0.679
Pb2 0.000 0.354 0.000
Pb3 0.693 0.693 0.386
Ga1 0.431 0.430 0.862
Cs5 0.839 0.053 0.678
Ga2 0.569 0.570 0.138
Pb4 0.307 0.307 0.614

Computed properties:
The energy relative to the elements comes out at -0.001 eV/atom. The calculation puts the total moment at 0.00 Bohr magnetons per cell. As for the space group: C2/m, No. 12. The density is 5.2 g/cm3.

VASP calculation (GGA-PBE) on crystalline CsGaPb3 at its relaxed geometry.

Cell: 6.357 6.357 6.357 Å, 90.00 90.00 90.00°
Fractional positions:
Cs1 0.000 0.000 0.000
Pb1 0.500 0.000 0.000
Ga1 0.500 0.500 0.500
Pb2 0.000 0.000 0.500
Pb3 0.000 0.500 0.000

Computed properties:
The energy relative to the elements comes out at 1.233 eV/atom. The calculation puts the total moment at 0.00 Bohr magnetons per cell. As for the space group: Pm-3m, No. 221. The density is 5.3 g/cm3.